Record 1
# MoIr2SeF GGA+U optimized geometry
data_MoIr2SeF
_cell_length_a 4.4845
_cell_length_b 4.4845
_cell_length_c 5.6355
_cell_angle_alpha 90.00
_cell_angle_beta 90.00
_cell_angle_gamma 90.00
_symmetry_space_group_name_H-M 'P 4/m m m'
_symmetry_Int_Tables_number 123
_symmetry_space_group_name_Hall '-P 4 2'
loop_
_atom_site_label
_atom_site_fract_x
_atom_site_fract_y
_atom_site_fract_z
Mo1 0.0000 0.0000 0.0000
Ir1 0.0000 0.5000 0.5000
Se1 0.0000 0.0000 0.5000
F1 0.5000 0.5000 0.0000
# DFT total energy in eV per atom: -4.9215
# V in Å³ per cell: 113.3

---

Record 2
# TcMoIr2F GGA+U optimized geometry
data_TcMoIr2F
_cell_length_a 4.8106
_cell_length_b 4.8106
_cell_length_c 3.8845
_cell_angle_alpha 90.00
_cell_angle_beta 90.00
_cell_angle_gamma 90.00
_symmetry_space_group_name_H-M 'P 4/m m m'
_symmetry_Int_Tables_number 123
_symmetry_space_group_name_Hall '-P 4 2'
loop_
_atom_site_label
_atom_site_fract_x
_atom_site_fract_y
_atom_site_fract_z
Tc1 0.0000 0.0000 0.0000
Mo1 0.5000 0.5000 0.5000
Ir1 0.0000 0.5000 0.5000
F1 0.5000 0.5000 0.0000
# DFT total energy in eV per atom: -6.3437
# V in Å³ per cell: 89.9

---

| no. | total moment (μB/cell) |
| --- | --- |
| 1 | 3.6 |
| 2 | 4.0 |